[1]
A plane-wave DFT calculation with PBE was carried out for DyHo2Sb after structural relaxation.

Geometry as POSCAR:
```
DyHo2Sb
1.0
4.0217 0.0000 0.0000
0.0000 4.0217 0.0000
0.0000 0.0000 7.0179
Sb Ho Dy
1 2 1
Direct
0.5000 0.5000 0.0000
0.0000 0.0000 0.7727
0.0000 0.0000 0.2273
0.5000 0.5000 0.5000
```

Properties
DOS(E_F) in states/eV per cell: 5.154
Relative energy among the computed polymorphs in eV/atom: 0.084
Total magnetization in μB/f.u.: 0.00
SG: No. 123
E_form (uncorrected) in eV/atom: -0.463

[2]
A plane-wave DFT calculation with PBE was carried out for DyHoSb2 after structural relaxation.

Geometry as POSCAR:
```
DyHoSb2
1.0
-2.3695 1.1115 -3.4752
-1.4446 -3.0666 2.7272
-3.4699 5.2245 4.0369
Dy Ho Sb
1 1 2
Direct
0.0000 0.5000 0.5000
0.0000 0.5000 0.0000
0.6667 0.8334 0.7512
0.3333 0.1666 0.2488
```

Properties
DOS(E_F) in states/eV per cell: 0.756
Relative energy among the computed polymorphs in eV/atom: 0.069
Total magnetization in μB/f.u.: 0.00
SG: No. 164
E_form (uncorrected) in eV/atom: -1.054

[3]
A plane-wave DFT calculation with PBE was carried out for Dy5HoSb6 after structural relaxation.

Geometry as POSCAR:
```
Dy5HoSb6
1.0
-3.4763 2.0893 -6.4120
-3.2586 -6.0596 -3.2027
-7.1437 -1.8480 1.7734
Dy Ho Sb
5 1 6
Direct
0.5000 0.1669 0.6663
0.0000 0.3334 0.3333
0.5000 0.5000 0.0000
0.0000 0.6666 0.6667
0.5000 0.8331 0.3337
0.0000 0.0000 0.0000
0.7504 0.0832 0.3327
0.2496 0.5841 0.3327
0.2497 0.2495 0.0000
0.7503 0.7505 0.0000
0.7504 0.4159 0.6673
0.2496 0.9168 0.6673
```

Properties
DOS(E_F) in states/eV per cell: 2.007
Total magnetization in μB/f.u.: 0.00
SG: No. 12
E_form (uncorrected) in eV/atom: -1.129

[4]
A plane-wave DFT calculation with PBE was carried out for DyHoSb after structural relaxation.

Geometry as POSCAR:
```
DyHoSb
1.0
-1.1362 -3.8469 0.7704
3.7714 -2.4277 4.2676
-3.6423 0.2927 6.9169
Dy Ho Sb
2 2 2
Direct
0.9302 0.7946 0.3449
0.0698 0.2054 0.6551
0.3467 0.2515 0.0551
0.6533 0.7485 0.9449
0.6581 0.3589 0.3248
0.3419 0.6411 0.6752
```

Properties
DOS(E_F) in states/eV per cell: 8.061
Total magnetization in μB/f.u.: 0.04
SG: No. 12
E_form (uncorrected) in eV/atom: -0.659

[5]
A plane-wave DFT calculation with PBE was carried out for Dy4HoSb5 after structural relaxation.

Geometry as POSCAR:
```
Dy4HoSb5
1.0
4.3012 0.0000 -0.8298
-0.3190 5.9572 -1.6537
0.0042 -0.0008 11.5841
Dy Ho Sb
4 1 5
Direct
0.4000 0.4000 0.8001
0.8002 0.8002 0.6004
0.1998 0.1998 0.3996
0.6000 0.6000 0.1999
0.0000 0.0000 0.0000
0.5996 0.0996 0.1991
0.8000 0.3000 0.5999
0.2000 0.7000 0.4001
0.0000 0.5000 0.0000
0.4004 0.9004 0.8009
```

Properties
DOS(E_F) in states/eV per cell: 1.984
Total magnetization in μB/f.u.: 0.00
SG: No. 71
E_form (uncorrected) in eV/atom: -1.129

[6]
A plane-wave DFT calculation with PBE was carried out for Dy3HoSb2 after structural relaxation.

Geometry as POSCAR:
```
Dy3HoSb2
1.0
4.3027 0.0000 0.0000
-2.1514 10.1768 -0.7289
0.0000 -5.1490 8.2565
Dy Ho Sb
6 2 4
Direct
0.3117 0.6234 0.5164
0.9443 0.8887 0.5651
0.6453 0.2906 0.8139
0.3547 0.7094 0.1861
0.0557 0.1113 0.4349
0.6883 0.3766 0.4836
0.8905 0.7811 0.8949
0.1095 0.2189 0.1051
0.4922 0.9843 0.8295
0.5078 0.0157 0.1705
0.7495 0.4990 0.2216
0.2505 0.5010 0.7784
```

Properties
DOS(E_F) in states/eV per cell: 13.374
Relative energy among the computed polymorphs in eV/atom: 0.124
Total magnetization in μB/f.u.: 0.30
SG: No. 12
E_form (uncorrected) in eV/atom: -0.671

Question: Which of these has the highest E_form (uncorrected)?
Answer: DyHo2Sb